DyZrCoPt: optimized geometry, PBE-GGA.

abc: 4.7473 4.7473 4.7473
angles: 60.00 60.00 60.00
Fractional coordinates of all 4 atoms:
Dy (0.0000, 0.0000, 0.0000)
Zr (0.5000, 0.5000, 0.5000)
Co (0.2500, 0.2500, 0.2500)
Pt (0.7500, 0.7500, 0.7500)

Output
Fermi-level density of states	3.38	states/eV/f.u.
final energy	-7.15	eV/atom
DFT formation energy	-0.580	eV per atom
M_tot	0.174	μB/atom
volume	76	Å³/cell



DyPuCo5: optimized geometry, PBE-GGA.

abc: 8.2880 4.8974 10.2718
angles: 90.00 90.00 90.00
Fractional coordinates of all 28 atoms:
Dy (0.2434, 0.2500, 0.0681)
Dy (0.2566, 0.7500, 0.5681)
Dy (0.7434, 0.2500, 0.4319)
Dy (0.7566, 0.7500, 0.9319)
Pu (0.1303, 0.2500, 0.3744)
Pu (0.3697, 0.7500, 0.8744)
Pu (0.6303, 0.2500, 0.1256)
Pu (0.8697, 0.7500, 0.6256)
Co (0.0505, 0.2500, 0.6065)
Co (0.0657, 0.7500, 0.0139)
Co (0.0701, 0.0014, 0.8113)
Co (0.0701, 0.4986, 0.8113)
Co (0.1888, 0.7500, 0.2381)
Co (0.3112, 0.2500, 0.7381)
Co (0.4299, 0.5014, 0.3113)
Co (0.4299, 0.9986, 0.3113)
Co (0.4343, 0.2500, 0.5139)
Co (0.4495, 0.7500, 0.1065)
Co (0.5505, 0.2500, 0.8935)
Co (0.5657, 0.7500, 0.4861)
Co (0.5701, 0.0014, 0.6887)
Co (0.5701, 0.4986, 0.6887)
Co (0.6888, 0.7500, 0.2619)
Co (0.8112, 0.2500, 0.7619)
Co (0.9299, 0.5014, 0.1887)
Co (0.9299, 0.9986, 0.1887)
Co (0.9343, 0.2500, 0.9861)
Co (0.9495, 0.7500, 0.3935)

Output
Fermi-level density of states	9.21	states/eV/f.u.
final energy	-7.90	eV/atom
DFT formation energy	-0.124	eV per atom
M_tot	0.072	μB/atom
volume	417	Å³/cell